Below is CeUAs2Ru2 after structural relaxation, with properties calculated at the PBE level.

abc: 4.2220 4.2220 7.5492
angles: 90.00 90.00 120.00
Space group P-3m1 (No. 164)
Inequivalent atoms, fractional coordinates:
Ce: 0.0000 0.0000 0.0000 (multiplicity 1)
U: 0.0000 0.0000 0.5000 (multiplicity 1)
As: 0.3333 0.6667 0.2321 (multiplicity 2)
Ru: 0.3333 0.6667 0.6993 (multiplicity 2)

**ΔE_f**: -0.728 eV/atom
**Raw total energy**: -8.24 eV per atom
**V**: 19.423 Å³ per atom

Below is Ce2VAs4Ru3 after structural relaxation, with properties calculated at the PBE level.

abc: 4.288 4.288 9.979
angles: 90.00 90.00 90.00
Space group P-4m2 (No. 115)
Inequivalent atoms, fractional coordinates:
Ce: 0.000 0.500 0.243 (multiplicity 2)
V: 0.000 0.000 0.500 (multiplicity 1)
As: 0.000 0.000 0.000 (multiplicity 1)
As: 0.000 0.500 0.634 (multiplicity 2)
As: 0.500 0.500 0.000 (multiplicity 1)
Ru: 0.000 0.500 0.881 (multiplicity 2)
Ru: 0.500 0.500 0.500 (multiplicity 1)

**ΔE_f**: -0.672 eV/atom
**Raw total energy**: -7.41 eV per atom
**V**: 18.346 Å³ per atom

Below is CeAsS3 after structural relaxation, with properties calculated at the PBE level.

abc: 7.181 4.119 10.498
angles: 90.00 101.07 90.00
Space group P2_1/m (No. 11)
Inequivalent atoms, fractional coordinates:
Ce: 0.247 0.250 0.081 (multiplicity 2)
As: 0.418 0.250 0.647 (multiplicity 2)
S: 0.030 0.750 0.138 (multiplicity 2)
S: 0.407 0.250 0.361 (multiplicity 2)
S: 0.473 0.250 0.874 (multiplicity 2)

**Raw total energy**: -5.60 eV per atom
**V**: 30.474 Å³ per atom
**Formation energy from raw total energies**: -5.06 eV per formula unit

Below is Ce2AsS after structural relaxation, with properties calculated at the PBE level.

abc: 4.0425 4.0425 21.6792
angles: 90.00 90.00 120.00
Space group R3m (No. 160, hexagonal axes)
Inequivalent atoms, fractional coordinates:
Ce: 0.0000 0.0000 0.0000 (multiplicity 3)
Ce: 0.0000 0.0000 0.1707 (multiplicity 3)
As: 0.0000 0.0000 0.5841 (multiplicity 3)
S: 0.0000 0.0000 0.7542 (multiplicity 3)

**Raw total energy**: -6.74 eV per atom
**E above lowest polymorph**: 0.155 eV per atom
**V**: 25.568 Å³ per atom
**Formation energy from raw total energies**: -6.31 eV per formula unit

Below is Ce3As3S after structural relaxation, with properties calculated at the PBE level.

abc: 7.979 12.736 7.408
angles: 90.00 90.15 90.00
Space group C2/m (No. 12)
Inequivalent atoms, fractional coordinates:
Ce: 0.081 0.000 0.273 (multiplicity 4)
Ce: 0.177 0.327 0.226 (multiplicity 8)
As: 0.000 0.168 0.000 (multiplicity 4)
As: 0.000 0.204 0.500 (multiplicity 4)
As: 0.093 0.500 0.878 (multiplicity 4)
S: 0.243 0.500 0.413 (multiplicity 4)

**Raw total energy**: -6.37 eV per atom
**V**: 26.884 Å³ per atom
**Formation energy from raw total energies**: -8.72 eV per formula unit

Below is Ce3AsS3 after structural relaxation, with properties calculated at the PBE level.

abc: 8.4770 8.4770 17.3007
angles: 90.00 90.00 120.00
Space group R-3 (No. 148, hexagonal axes)
Inequivalent atoms, fractional coordinates:
Ce: 0.0087 0.3726 0.4220 (multiplicity 18)
As: 0.0000 0.0000 0.1650 (multiplicity 6)
S: 0.0072 0.2881 0.5924 (multiplicity 18)

**Raw total energy**: -6.73 eV per atom
**E above lowest polymorph**: 0.084 eV per atom
**V**: 25.635 Å³ per atom
**Formation energy from raw total energies**: -12.27 eV per formula unit